Pr2CuHg: relaxed, PBE.

Geometry as POSCAR:
```
Pr2CuHg
1.0
3.722 0.000 0.000
0.000 3.722 0.000
0.000 0.000 7.597
Pr Cu Hg
2 1 1
direct
0.000 0.000 0.230
0.000 0.000 0.770
0.500 0.500 0.000
0.500 0.500 0.500
```

Values from the calculation:
calculated total energy	-0.13880	hartree per atom
relative energy among the computed polymorphs	0.0000	eV/atom